Computed, not measured: an optimized crystal structure of Th3SnPd at the GGA-PBE level of DFT.

abc: 6.1395 6.8909 7.3525
angles: 90.00 112.72 90.00
Sites, in units of the cell vectors:
Th 0.0188 0.2500 0.3221
Th 0.4301 0.5187 0.1974
Th 0.4301 0.9813 0.1974
Th 0.5699 0.0187 0.8026
Th 0.5699 0.4813 0.8026
Th 0.9812 0.7500 0.6779
Sn 0.0944 0.2500 0.8267
Sn 0.9056 0.7500 0.1733
Pd 0.3179 0.7500 0.4922
Pd 0.6821 0.2500 0.5078

Values from the calculation:
The calculation puts the density of states at the Fermi level at 1.235 states/eV per atom. The calculation puts the energy of formation from the pure elements at -0.380 eV/atom.

---

Computed, not measured: an optimized crystal structure of KNa3Ag at the GGA-PBE level of DFT.

abc: 5.8685 5.8685 5.8685
angles: 90.00 90.00 90.00
Sites, in units of the cell vectors:
K 0.0000 0.0000 0.0000
Na 0.0000 0.5000 0.5000
Na 0.5000 0.0000 0.5000
Na 0.5000 0.5000 0.0000
Ag 0.5000 0.5000 0.5000

Values from the calculation:
The calculation puts the density of states at the Fermi level at 0.472 states/eV per atom. The calculation puts the energy of formation from the pure elements at 0.045 eV/atom. The value obtained for the excess energy over the best structure of this formula in the dataset is 0.032 eV/atom.

---

Computed, not measured: an optimized crystal structure of Cu2IrF8 at the GGA-PBE level of DFT.

abc: 6.4316 6.4316 3.9523
angles: 90.00 90.00 120.00
Sites, in units of the cell vectors:
Cu 0.3333 0.6667 0.2873
Cu 0.6667 0.3333 0.7127
Ir 0.0000 0.0000 0.5000
F 0.1504 0.3007 0.2485
F 0.1504 0.8496 0.2485
F 0.3007 0.1504 0.7515
F 0.3333 0.6667 0.7813
F 0.6667 0.3333 0.2187
F 0.6993 0.8496 0.2485
F 0.8496 0.1504 0.7515
F 0.8496 0.6993 0.7515

Values from the calculation:
As for the total energy: -0.158 Ha/atom. The calculation puts the density of states at the Fermi level at 0.591 states/eV per atom.

---

Computed, not measured: an optimized crystal structure of BaLi4Pd4 at the GGA-PBE level of DFT.

abc: 6.3130 6.3130 6.3130
angles: 97.64 97.64 137.23
Sites, in units of the cell vectors:
Ba 0.0000 0.0000 0.0000
Li 0.0773 0.6264 0.7037
Li 0.3736 0.0773 0.4509
Li 0.6264 0.9227 0.5491
Li 0.9227 0.3736 0.2963
Pd 0.2540 0.3553 0.6093
Pd 0.3553 0.7460 0.1013
Pd 0.6447 0.2540 0.8987
Pd 0.7460 0.6447 0.3907

Values from the calculation:
The calculation puts the density of states at the Fermi level at 0.318 states/eV per atom. The calculation puts the energy of formation from the pure elements at -0.306 eV/atom.

---

Computed, not measured: an optimized crystal structure of TlTe2IN at the GGA-PBE level of DFT.

abc: 5.8332 5.8332 5.8996
angles: 90.00 90.00 90.00
Sites, in units of the cell vectors:
Tl 0.0000 0.0000 0.0000
Te 0.0000 0.5000 0.0000
Te 0.5000 0.0000 0.0000
I 0.0000 0.0000 0.5000
N 0.5000 0.5000 0.5000

Values from the calculation:
The calculation puts the density of states at the Fermi level at 3.059 states/eV per atom. The value obtained for the excess energy over the best structure of this formula in the dataset is 1.270 eV/atom.

---

Computed, not measured: an optimized crystal structure of MoPd2N at the GGA-PBE level of DFT.

abc: 5.7702 5.7702 5.7702
angles: 97.08 97.08 138.90
Sites, in units of the cell vectors:
Mo 0.0000 0.0000 0.0000
Mo 0.7500 0.2500 0.5000
Pd 0.2411 0.6250 0.1161
Pd 0.3750 0.4911 0.6161
Pd 0.5089 0.1250 0.8839
Pd 0.8750 0.7589 0.3839
N 0.2500 0.7500 0.5000
N 0.5000 0.5000 0.0000

Values from the calculation:
As for the total energy: -0.251 Ha/atom. The calculation puts the density of states at the Fermi level at 1.407 states/eV per atom.